Computed, not measured: a relaxed In3SeBr2 crystal at the PBE level of DFT.

* uncorrected formation energy: -0.492 eV/atom

Cell: 14.6843 6.2841 4.4307 Å, 90.00 107.45 90.00°
Last column: nearest neighbours and their distance in Å.
Space group C2/m (No. 12)
Symmetry-distinct sites (fractional):
In  0.0000  0.0000  0.0000 (multiplicity 2)  2 Se 3.14, 4 Br 3.20-3.21
In  0.1451  0.5000  0.6443 (multiplicity 4)  2 Se 3.01, 2 Br 3.15
Se  0.0000  0.5000  0.0000 (multiplicity 2)  6 In 3.01-3.14
Br  0.1653  0.0000  0.6651 (multiplicity 4)  6 In 3.15-3.46

Computed, not measured: a relaxed InSeBr3 crystal at the PBE level of DFT.

* uncorrected formation energy: -0.550 eV/atom
* distance to the lowest polymorph of the same formula: 16 meV/atom

Cell: 7.1469 7.9908 8.1720 Å, 81.91 73.09 89.56°
Last column: nearest neighbours and their distance in Å.
Space group P1 (No. 1)
Symmetry-distinct sites (fractional):
In  0.0000  0.0000  0.0000 (multiplicity 1)  3 Br 2.49-2.68
In  0.3127  0.8025  0.6040 (multiplicity 1)  3 Br 2.49-2.71, 1 Se 2.58
Se  0.1003  0.0869  0.3020 (multiplicity 1)  1 Se 2.36, 1 Br 2.37
Se  0.3873  0.9340  0.2834 (multiplicity 1)  1 Se 2.36, 1 In 2.58
Br  0.2069  0.3740  0.2657 (multiplicity 1)  1 Se 2.37
Br  0.3782  0.0162  0.8128 (multiplicity 1)  2 In 2.68-2.71
Br  0.4598  0.5324  0.6860 (multiplicity 1)  1 In 2.49
Br  0.8287  0.2622  0.9348 (multiplicity 1)  1 In 2.49
Br  0.8427  0.7673  0.2525 (multiplicity 1)  1 In 2.57
Br  0.9347  0.8047  0.7613 (multiplicity 1)  2 In 2.63-2.80

Computed, not measured: a relaxed InSe2Br crystal at the PBE level of DFT.

* uncorrected formation energy: 0.226 eV/atom
* distance to the lowest polymorph of the same formula: 646 meV/atom

Cell: 7.2490 7.2490 7.2490 Å, 90.00 90.00 90.00°
Last column: nearest neighbours and their distance in Å.
Space group F-43m (No. 216)
Symmetry-distinct sites (fractional):
In  0.0000  0.0000  0.0000 (multiplicity 4)  4 Se 3.14, 4 Br 3.14
Se  0.0000  0.0000  0.5000 (multiplicity 4)  4 Se 3.14, 4 Br 3.14
Se  0.2500  0.2500  0.2500 (multiplicity 4)  4 In 3.14, 4 Se 3.14
Br  0.2500  0.2500  0.7500 (multiplicity 4)  4 In 3.14, 4 Se 3.14

| no. | mass density (g cm⁻³) |
| --- | --- |
| 1 | 4.97 |
| 2 | 3.26 |
| 3 | 6.15 |